A plane-wave DFT calculation with PBE was carried out for an optimized crystal structure of SrUCd.

Cell and atoms, written as POSCAR:
```
SrUCd
1.0
0.000 3.722 3.722
3.722 0.000 3.722
3.722 3.722 0.000
U Cd Sr
1 1 1
Direct
0.000 0.000 0.000
0.250 0.250 0.250
0.750 0.750 0.750
```

Summary:
The calculation puts the total energy at -10.1 eV per cell.